# Ca4CdHg

A relaxed Ca4CdHg crystal (GGA-PBE, the Alexandria database).

Cell: 6.774 6.774 6.774 Å, 60.00 60.00 60.00°
Element x y z (fractional)
Ca1 0.125 0.125 0.125
Ca2 0.125 0.125 0.625
Ca3 0.125 0.625 0.125
Ca4 0.625 0.125 0.125
Cd1 0.750 0.750 0.750
Hg1 0.500 0.500 0.500

Values from the calculation:
- E_tot: -1.307 eV per atom
- Energy of formation from the pure elements: 230 meV per atom
- Energy above the most stable polymorph in this dataset: 0.5501 eV per atom

***

# LiGaCuAg

A relaxed LiGaCuAg crystal (GGA-PBE, the Alexandria database).

Cell: 7.418 4.435 4.436 Å, 90.00 126.61 90.00°
Element x y z (fractional)
Li1 0.000 0.000 0.000
Li2 0.500 0.500 0.000
Ga1 0.250 0.500 0.251
Ga2 0.750 0.000 0.251
Cu1 0.000 0.500 0.499
Cu2 0.500 0.000 0.499
Ag1 0.250 0.000 0.749
Ag2 0.750 0.500 0.749

Values from the calculation:
- E_tot: -3.138 eV per atom
- Energy of formation from the pure elements: -166 meV per atom

***

# Mg3ZnCl

A relaxed Mg3ZnCl crystal (GGA-PBE, the Alexandria database).

Cell: 4.968 4.968 4.968 Å, 90.00 90.00 90.00°
Element x y z (fractional)
Mg1 0.000 0.000 0.500
Mg2 0.000 0.500 0.000
Mg3 0.500 0.000 0.000
Zn1 0.500 0.500 0.500
Cl1 0.000 0.000 0.000

Values from the calculation:
- E_tot: -1.403 eV per atom
- E_form (uncorrected): 0.18 eV per atom
- Energy above the most stable polymorph in this dataset: 0.3001 eV per atom

***

# FeNiPd

A relaxed FeNiPd crystal (GGA-PBE, the Alexandria database).

Cell: 8.492 3.632 5.318 Å, 90.00 109.22 90.00°
Element x y z (fractional)
Fe1 0.004 0.000 0.266
Fe2 0.496 0.500 0.734
Fe3 0.504 0.500 0.266
Fe4 0.996 0.000 0.734
Ni1 0.160 0.500 0.574
Ni2 0.340 0.000 0.426
Ni3 0.660 0.000 0.574
Ni4 0.840 0.500 0.426
Pd1 0.168 0.500 0.096
Pd2 0.332 0.000 0.904
Pd3 0.668 0.000 0.096
Pd4 0.832 0.500 0.904

Values from the calculation:
- E_tot: -6.530 eV per atom
- Energy of formation from the pure elements: -51 meV per atom
- Energy above the most stable polymorph in this dataset: 0.0000 eV per atom